# 1
This record from Alexandria via LeMat-Bulk describes crystalline Sm4Mo at its relaxed geometry. The functional is GGA-PBE.

Calculated volume = 33.59 Å³ per atom
Energy = -5.547 eV per atom

Lattice parameters (Å, degrees): 5.517 5.517 5.517 90.00 90.00 90.00
Space group Pm-3m (No. 221)
Symmetry-distinct sites (fractional):
Sm (0.000, 0.000, 0.000) [1 per cell]
Sm (0.000, 0.500, 0.500) [3 per cell]
Mo (0.500, 0.500, 0.500) [1 per cell]

***

# 2
This record from Alexandria via LeMat-Bulk describes crystalline SmMo6 at its relaxed geometry. The functional is GGA-PBE.

Calculated volume = 23.81 Å³ per atom
Energy = -8.491 eV per atom

Lattice parameters (Å, degrees): 6.934 6.934 6.934 90.00 90.00 90.00
Space group Im-3m (No. 229)
Symmetry-distinct sites (fractional):
Sm (0.000, 0.000, 0.000) [2 per cell]
Mo (0.000, 0.250, 0.500) [12 per cell]

***

# 3
This record from Alexandria via LeMat-Bulk describes crystalline Sm2Tc3Mo at its relaxed geometry. The functional is GGA-PBE.

Calculated volume = 19.47 Å³ per atom
Energy = -8.552 eV per atom

Lattice parameters (Å, degrees): 5.5617 5.5617 13.0867 90.00 90.00 120.00
Space group R-3m (No. 166, hexagonal axes)
Symmetry-distinct sites (fractional):
Sm (0.0000, 0.0000, 0.1248) [6 per cell]
Tc (0.0000, 0.5000, 0.0000) [9 per cell]
Mo (0.0000, 0.0000, 0.5000) [3 per cell]

***

# 4
This record from Alexandria via LeMat-Bulk describes crystalline SmTc2Mo at its relaxed geometry. The functional is GGA-PBE.

Calculated volume = 18.14 Å³ per atom
Energy = -8.917 eV per atom

Lattice parameters (Å, degrees): 3.201 3.201 7.079 90.00 90.00 90.00
Space group P4/mmm (No. 123)
Symmetry-distinct sites (fractional):
Sm (0.000, 0.000, 0.000) [1 per cell]
Tc (0.500, 0.500, 0.293) [2 per cell]
Mo (0.000, 0.000, 0.500) [1 per cell]

***

# 5
This record from Alexandria via LeMat-Bulk describes crystalline Sm3Tc8Mo at its relaxed geometry. The functional is GGA-PBE.

Calculated volume = 18.23 Å³ per atom
Energy = -8.887 eV per atom

Lattice parameters (Å, degrees): 5.3605 5.3605 26.3783 90.00 90.00 120.00
Space group R3m (No. 160, hexagonal axes)
Symmetry-distinct sites (fractional):
Sm (0.0000, 0.0000, 0.0000) [3 per cell]
Sm (0.0000, 0.0000, 0.1266) [3 per cell]
Sm (0.0000, 0.0000, 0.6256) [3 per cell]
Tc (0.0000, 0.0000, 0.3145) [3 per cell]
Tc (0.0000, 0.0000, 0.8139) [3 per cell]
Tc (0.0063, 0.5031, 0.0676) [9 per cell]
Tc (0.1696, 0.3393, 0.8930) [9 per cell]
Mo (0.0000, 0.0000, 0.5023) [3 per cell]

***

# 6
This record from Alexandria via LeMat-Bulk describes crystalline SmThMo4 at its relaxed geometry. The functional is GGA-PBE.

Calculated volume = 20.55 Å³ per atom
Energy = -9.109 eV per atom

Lattice parameters (Å, degrees): 7.901 7.901 7.901 90.00 90.00 90.00
Space group F-43m (No. 216)
Symmetry-distinct sites (fractional):
Sm (0.000, 0.000, 0.000) [4 per cell]
Th (0.250, 0.250, 0.750) [4 per cell]
Mo (0.125, 0.125, 0.375) [16 per cell]

***

# 7
This record from Alexandria via LeMat-Bulk describes crystalline SmThMo at its relaxed geometry. The functional is GGA-PBE.

Calculated volume = 27.97 Å³ per atom
Energy = -7.452 eV per atom

Lattice parameters (Å, degrees): 15.981 3.534 6.123 90.00 103.87 90.00
Space group C2/m (No. 12)
Symmetry-distinct sites (fractional):
Sm (0.067, 0.000, 0.290) [4 per cell]
Th (0.147, 0.500, 0.839) [4 per cell]
Mo (0.236, 0.500, 0.351) [4 per cell]

***

# 8
This record from Alexandria via LeMat-Bulk describes crystalline SmTi2Mo at its relaxed geometry. The functional is GGA-PBE.

Calculated volume = 20.35 Å³ per atom
Energy = -7.768 eV per atom

Lattice parameters (Å, degrees): 3.267 3.267 7.629 90.00 90.00 90.00
Space group P4/mmm (No. 123)
Symmetry-distinct sites (fractional):
Sm (0.000, 0.000, 0.000) [1 per cell]
Ti (0.500, 0.500, 0.314) [2 per cell]
Mo (0.000, 0.000, 0.500) [1 per cell]

***

# 9
This record from Alexandria via LeMat-Bulk describes crystalline SmVMo at its relaxed geometry. The functional is GGA-PBE.

Calculated volume = 21.57 Å³ per atom
Energy = -7.993 eV per atom

Lattice parameters (Å, degrees): 4.098 4.098 7.707 90.00 90.00 90.00
Space group P4/nmm (No. 129, origin choice 2)
Symmetry-distinct sites (fractional):
Sm (0.250, 0.250, 0.164) [2 per cell]
V (0.250, 0.750, 0.500) [2 per cell]
Mo (0.250, 0.250, 0.693) [2 per cell]

***

# 10
This record from Alexandria via LeMat-Bulk describes crystalline SmMoW at its relaxed geometry. The functional is GGA-PBE.

Calculated volume = 21.56 Å³ per atom
Energy = -8.926 eV per atom

Lattice parameters (Å, degrees): 5.009 9.774 21.142 90.00 90.00 90.00
Space group Fddd (No. 70, origin choice 2)
Symmetry-distinct sites (fractional):
Sm (0.125, 0.285, 0.125) [16 per cell]
Mo (0.125, 0.125, 0.535) [16 per cell]
W (0.125, 0.125, 0.001) [16 per cell]

***

# 11
This record from Alexandria via LeMat-Bulk describes crystalline SmYMo4 at its relaxed geometry. The functional is GGA-PBE.

Calculated volume = 20.10 Å³ per atom
Energy = -8.932 eV per atom

Lattice parameters (Å, degrees): 7.843 7.843 7.843 90.00 90.00 90.00
Space group F-43m (No. 216)
Symmetry-distinct sites (fractional):
Sm (0.000, 0.000, 0.000) [4 per cell]
Y (0.250, 0.250, 0.750) [4 per cell]
Mo (0.125, 0.125, 0.375) [16 per cell]

***

# 12
This record from Alexandria via LeMat-Bulk describes crystalline SmZr2Mo at its relaxed geometry. The functional is GGA-PBE.

Calculated volume = 24.22 Å³ per atom
Energy = -7.824 eV per atom

Lattice parameters (Å, degrees): 3.2625 3.2625 31.5241 90.00 90.00 120.00
Space group R-3m (No. 166, hexagonal axes)
Symmetry-distinct sites (fractional):
Sm (0.0000, 0.0000, 0.0000) [3 per cell]
Zr (0.0000, 0.0000, 0.1018) [6 per cell]
Mo (0.0000, 0.0000, 0.5000) [3 per cell]

***

# 13
This record from Alexandria via LeMat-Bulk describes crystalline SmZr2Mo at its relaxed geometry. The functional is GGA-PBE.

Calculated volume = 23.34 Å³ per atom
Energy = -8.082 eV per atom

Lattice parameters (Å, degrees): 3.429 3.429 7.941 90.00 90.00 90.00
Space group P4/mmm (No. 123)
Symmetry-distinct sites (fractional):
Sm (0.000, 0.000, 0.000) [1 per cell]
Zr (0.500, 0.500, 0.305) [2 per cell]
Mo (0.000, 0.000, 0.500) [1 per cell]

***

# 14
This record from Alexandria via LeMat-Bulk describes crystalline SnMo at its relaxed geometry. The functional is GGA-PBE.

Calculated volume = 22.55 Å³ per atom
Energy = -7.127 eV per atom

Lattice parameters (Å, degrees): 10.579 10.579 3.223 90.00 90.00 90.00
Space group I4/m (No. 87)
Symmetry-distinct sites (fractional):
Sn (0.134, 0.194, 0.000) [8 per cell]
Mo (0.064, 0.628, 0.000) [8 per cell]

***

# 15
This record from Alexandria via LeMat-Bulk describes crystalline SnMo at its relaxed geometry. The functional is GGA-PBE.

Calculated volume = 37.12 Å³ per atom
Energy = -5.809 eV per atom

Lattice parameters (Å, degrees): 7.637 7.637 7.637 90.00 90.00 90.00
Space group Pm-3n (No. 223)
Symmetry-distinct sites (fractional):
Sn (0.000, 0.250, 0.500) [6 per cell]
Mo (0.000, 0.500, 0.250) [6 per cell]

***

# 16
This record from Alexandria via LeMat-Bulk describes crystalline SnMo at its relaxed geometry. The functional is GGA-PBE.

Calculated volume = 20.28 Å³ per atom
Energy = -6.925 eV per atom

Lattice parameters (Å, degrees): 5.072 8.586 14.905 90.00 90.00 90.00
Space group Fddd (No. 70, origin choice 2)
Symmetry-distinct sites (fractional):
Sn (0.125, 0.291, 0.125) [16 per cell]
Mo (0.125, 0.125, 0.542) [16 per cell]

***

# 17
This record from Alexandria via LeMat-Bulk describes crystalline SnMo at its relaxed geometry. The functional is GGA-PBE.

Calculated volume = 21.54 Å³ per atom
Energy = -6.568 eV per atom

Lattice parameters (Å, degrees): 5.565 5.565 5.565 90.00 90.00 90.00
Space group Fm-3m (No. 225)
Symmetry-distinct sites (fractional):
Sn (0.000, 0.000, 0.000) [4 per cell]
Mo (0.000, 0.000, 0.500) [4 per cell]

***

# 18
This record from Alexandria via LeMat-Bulk describes crystalline SnMo at its relaxed geometry. The functional is GGA-PBE.

Calculated volume = 20.18 Å³ per atom
Energy = -7.164 eV per atom

Lattice parameters (Å, degrees): 10.144 10.144 3.138 90.00 90.00 90.00
Space group I4/m (No. 87)
Symmetry-distinct sites (fractional):
Sn (0.136, 0.172, 0.000) [8 per cell]
Mo (0.038, 0.649, 0.500) [8 per cell]

***

# 19
This record from Alexandria via LeMat-Bulk describes crystalline SnMo5 at its relaxed geometry. The functional is GGA-PBE.

Calculated volume = 16.55 Å³ per atom
Energy = -9.548 eV per atom

Lattice parameters (Å, degrees): 4.501 13.546 3.257 90.00 90.00 90.00
Space group Cmmm (No. 65)
Symmetry-distinct sites (fractional):
Sn (0.000, 0.000, 0.000) [2 per cell]
Mo (0.000, 0.174, 0.500) [4 per cell]
Mo (0.000, 0.334, 0.000) [4 per cell]
Mo (0.000, 0.500, 0.500) [2 per cell]

***

# 20
This record from Alexandria via LeMat-Bulk describes crystalline SnMo at its relaxed geometry. The functional is GGA-PBE.

Calculated volume = 21.47 Å³ per atom
Energy = -7.059 eV per atom

Lattice parameters (Å, degrees): 3.252 11.960 6.625 90.00 90.00 90.00
Space group Pmmn (No. 59, origin choice 2)
Symmetry-distinct sites (fractional):
Sn (0.250, 0.011, 0.199) [4 per cell]
Sn (0.250, 0.750, 0.137) [2 per cell]
Mo (0.250, 0.250, 0.238) [2 per cell]
Mo (0.250, 0.641, 0.529) [4 per cell]

***

Respective calculated density values: 6.89 7.23 9.82 10.12 10.10 10.32 9.47 6.98 7.63 11.04 8.58 7.35 7.63 7.90 4.80 8.79 8.27 8.83 10.01 8.30 g/cm3.
Respective size of the total moment values: 0.01 0.00 0.00 0.00 0.00 0.00 0.00 0.00 0.00 0.00 0.00 0.00 0.00 0.00 11.95 0.00 7.14 0.00 0.00 0.00 Bohr magnetons per cell.
Respective ΔE_f values: 0.394 1.467 0.010 0.154 0.106 0.135 0.205 0.067 0.230 0.576 0.153 0.337 0.079 0.290 1.608 0.492 0.849 0.253 0.145 0.358 eV/atom.